A geometry-optimized LaV2PdO8 structure. Source: Alexandria, functional PBE+U.

Cell and atoms, written as CIF:
```
data_LaV2PdO8
_space_group_name_H-M_alt 'P -3 m 1'
_space_group_IT_number 164
_space_group_name_Hall '-P 3 2"'
_cell_length_a 5.6396
_cell_length_b 5.6396
_cell_length_c 6.7192
_cell_angle_alpha 90.00
_cell_angle_beta 90.00
_cell_angle_gamma 120.00
loop_
_atom_site_label
_atom_site_fract_x
_atom_site_fract_y
_atom_site_fract_z
La1 0.0000 0.0000 0.0000
V1 0.3333 0.6667 0.2291
Pd1 0.0000 0.0000 0.5000
O1 0.1582 0.3164 0.2931
O2 0.3333 0.6667 0.9794
```

Computed properties:
Calculated density (g/cm3): 4.26
VASP energy (hartree per atom): -0.266